[1]
KSeN2F | PBE | optimized geometry

Results
- distance to the lowest polymorph of the same formula (eV per atom) = 1.636
- energy relative to the elements, uncorrected (kJ/mol of formula units) = 933.1
- Fermi-level density of states (states/eV per cell) = 9.2
- calculated density (g cm⁻³) = 1.46

abc: 5.4169 5.4169 6.4200
angles: 90.00 90.00 90.00
With the nearest neighbours (Å) after each atom.
Positions (direct):
K 0.0000 0.0000 0.0000  4 N 2.71
Se 0.0000 0.0000 0.5000  2 K 3.21
N 0.0000 0.5000 0.0000  2 K 2.71
N 0.5000 0.0000 0.0000  2 K 2.71
F 0.5000 0.5000 0.5000  4 Se 3.83, 8 N 4.20

[2]
KSeN2F | PBE | optimized geometry

Results
- distance to the lowest polymorph of the same formula (eV per atom) = 0.000
- energy relative to the elements, uncorrected (kJ/mol of formula units) = 144.1
- Fermi-level density of states (states/eV per cell) = 2.0
- calculated density (g cm⁻³) = 3.72

abc: 3.7750 3.7750 5.1736
angles: 90.00 90.00 90.00
With the nearest neighbours (Å) after each atom.
Positions (direct):
K 0.0000 0.0000 0.0000  4 F 2.67
Se 0.5000 0.5000 0.5000  4 N 1.89
N 0.0000 0.5000 0.5000  2 Se 1.89
N 0.5000 0.0000 0.5000  2 Se 1.89
F 0.5000 0.5000 0.0000  2 Se 2.59, 4 K 2.67

[3]
KSiNF2 | PBE | optimized geometry

Results
- distance to the lowest polymorph of the same formula (eV per atom) = 0.000
- energy relative to the elements, uncorrected (kJ/mol of formula units) = -825.2
- Fermi-level density of states (states/eV per cell) = 0.0
- calculated density (g cm⁻³) = 3.27

abc: 4.2958 4.2958 3.2820
angles: 90.00 90.00 90.00
With the nearest neighbours (Å) after each atom.
Positions (direct):
K 0.0000 0.0000 0.0000  8 F 2.70
Si 0.5000 0.5000 0.5000  2 N 1.64
N 0.5000 0.5000 0.0000  2 Si 1.64
F 0.0000 0.5000 0.5000  2 Si 2.15
F 0.5000 0.0000 0.5000  2 Si 2.15

[4]
KSiNF2 | PBE | optimized geometry

Results
- distance to the lowest polymorph of the same formula (eV per atom) = 2.416
- energy relative to the elements, uncorrected (kJ/mol of formula units) = 340.1
- Fermi-level density of states (states/eV per cell) = 7.2
- calculated density (g cm⁻³) = 1.51

abc: 4.4848 4.4848 6.5080
angles: 90.00 90.00 90.00
With the nearest neighbours (Å) after each atom.
Positions (direct):
K 0.0000 0.0000 0.0000  4 F 2.24
Si 0.0000 0.0000 0.5000  4 N 3.17, 2 K 3.25
N 0.5000 0.5000 0.5000  4 Si 3.17
F 0.0000 0.5000 0.0000  2 K 2.24
F 0.5000 0.0000 0.0000  2 K 2.24

[5]
KSiNF2 | PBE | optimized geometry

Results
- distance to the lowest polymorph of the same formula (eV per atom) = 2.095
- energy relative to the elements, uncorrected (kJ/mol of formula units) = 185.2
- Fermi-level density of states (states/eV per cell) = 2.1
- calculated density (g cm⁻³) = 1.86

abc: 4.6497 4.6497 4.9158
angles: 90.00 90.00 90.00
With the nearest neighbours (Å) after each atom.
Positions (direct):
K 0.0000 0.0000 0.0000  4 F 2.32, 2 N 2.46
Si 0.5000 0.5000 0.5000  4 N 3.29, 8 F 3.38
N 0.0000 0.0000 0.5000  2 K 2.46
F 0.0000 0.5000 0.0000  2 K 2.32
F 0.5000 0.0000 0.0000  2 K 2.32

[6]
KSnN2F | PBE | optimized geometry

Results
- distance to the lowest polymorph of the same formula (eV per atom) = 1.277
- energy relative to the elements, uncorrected (kJ/mol of formula units) = 585.9
- Fermi-level density of states (states/eV per cell) = 2.5
- calculated density (g cm⁻³) = 3.08

abc: 4.9137 4.9137 4.5706
angles: 90.00 90.00 90.00
With the nearest neighbours (Å) after each atom.
Positions (direct):
K 0.0000 0.0000 0.0000  2 F 2.29, 4 N 2.46
Sn 0.5000 0.5000 0.5000  8 N 3.36, 4 F 3.47
N 0.0000 0.5000 0.0000  2 K 2.46
N 0.5000 0.0000 0.0000  2 K 2.46
F 0.0000 0.0000 0.5000  2 K 2.29

[7]
KSnN2F | PBE | optimized geometry

Results
- distance to the lowest polymorph of the same formula (eV per atom) = 0.000
- energy relative to the elements, uncorrected (kJ/mol of formula units) = -30.2
- Fermi-level density of states (states/eV per cell) = 4.0
- calculated density (g cm⁻³) = 4.25

abc: 4.1584 4.1584 4.6298
angles: 90.00 90.00 90.00
With the nearest neighbours (Å) after each atom.
Positions (direct):
K 0.0000 0.0000 0.0000  4 F 2.94, 8 N 3.11
Sn 0.5000 0.5000 0.5000  4 N 2.08, 2 F 2.31
N 0.0000 0.5000 0.5000  2 Sn 2.08
N 0.5000 0.0000 0.5000  2 Sn 2.08
F 0.5000 0.5000 0.0000  2 Sn 2.31

[8]
KSrN2F | PBE | optimized geometry

Results
- distance to the lowest polymorph of the same formula (eV per atom) = 0.497
- energy relative to the elements, uncorrected (kJ/mol of formula units) = 194.1
- Fermi-level density of states (states/eV per cell) = 3.8
- calculated density (g cm⁻³) = 2.61

abc: 4.8958 4.8958 4.6175
angles: 90.00 90.00 90.00
With the nearest neighbours (Å) after each atom.
Positions (direct):
K 0.0000 0.0000 0.0000  2 F 2.31, 4 N 2.45
Sr 0.5000 0.5000 0.5000  8 N 3.36, 4 F 3.46
N 0.0000 0.5000 0.0000  2 K 2.45
N 0.5000 0.0000 0.0000  2 K 2.45
F 0.0000 0.0000 0.5000  2 K 2.31

[9]
KSrN2F | PBE | optimized geometry

Results
- distance to the lowest polymorph of the same formula (eV per atom) = 1.130
- energy relative to the elements, uncorrected (kJ/mol of formula units) = 499.5
- Fermi-level density of states (states/eV per cell) = 2.0
- calculated density (g cm⁻³) = 2.13

abc: 4.6117 4.6117 6.3679
angles: 90.00 90.00 90.00
With the nearest neighbours (Å) after each atom.
Positions (direct):
K 0.0000 0.0000 0.0000  4 N 2.31
Sr 0.0000 0.0000 0.5000  2 K 3.18, 4 F 3.26
N 0.0000 0.5000 0.0000  2 K 2.31
N 0.5000 0.0000 0.0000  2 K 2.31
F 0.5000 0.5000 0.5000  4 Sr 3.26

[10]
KSrN2F | PBE | optimized geometry

Results
- distance to the lowest polymorph of the same formula (eV per atom) = 0.000
- energy relative to the elements, uncorrected (kJ/mol of formula units) = -45.8
- Fermi-level density of states (states/eV per cell) = 2.0
- calculated density (g cm⁻³) = 2.35

abc: 5.0960 5.0960 4.7228
angles: 90.00 90.00 90.00
With the nearest neighbours (Å) after each atom.
Positions (direct):
K 0.0000 0.0000 0.0000  8 N 3.47, 4 F 3.60
Sr 0.5000 0.5000 0.5000  2 F 2.36, 4 N 2.55
N 0.0000 0.5000 0.5000  2 Sr 2.55
N 0.5000 0.0000 0.5000  2 Sr 2.55
F 0.5000 0.5000 0.0000  2 Sr 2.36

[11]
KTcN2F | PBE | optimized geometry

Results
- distance to the lowest polymorph of the same formula (eV per atom) = 2.687
- energy relative to the elements, uncorrected (kJ/mol of formula units) = 1055.4
- Fermi-level density of states (states/eV per cell) = 2.0
- calculated density (g cm⁻³) = 3.59

abc: 4.4024 4.4024 4.3982
angles: 90.00 90.00 90.00
With the nearest neighbours (Å) after each atom.
Positions (direct):
K 0.0000 0.0000 0.0000  2 F 2.20, 4 N 2.20
Tc 0.5000 0.5000 0.5000  8 N 3.11, 4 F 3.11
N 0.0000 0.5000 0.0000  2 K 2.20
N 0.5000 0.0000 0.0000  2 K 2.20
F 0.0000 0.0000 0.5000  2 K 2.20

[12]
KTcN2F | PBE | optimized geometry

Results
- distance to the lowest polymorph of the same formula (eV per atom) = 0.000
- energy relative to the elements, uncorrected (kJ/mol of formula units) = -240.8
- Fermi-level density of states (states/eV per cell) = 3.4
- calculated density (g cm⁻³) = 4.52

abc: 3.8746 3.8746 4.5027
angles: 90.00 90.00 90.00
With the nearest neighbours (Å) after each atom.
Positions (direct):
K 0.0000 0.0000 0.0000  4 F 2.74, 8 N 2.97
Tc 0.5000 0.5000 0.5000  4 N 1.94
N 0.0000 0.5000 0.5000  2 Tc 1.94
N 0.5000 0.0000 0.5000  2 Tc 1.94
F 0.5000 0.5000 0.0000  2 Tc 2.25